Computed, not measured: crystalline Tl2VBr4 at its relaxed geometry at the PBE level of DFT.

Cell lengths 8.721, 12.637, 4.108 Å; angles 90.00, 90.00, 90.00 degrees
Sites, in units of the cell vectors:
Tl1 0.074 0.175 0.000
Tl2 0.426 0.675 0.000
Tl3 0.574 0.325 0.000
Tl4 0.926 0.825 0.000
V1 0.000 0.500 0.500
V2 0.500 0.000 0.500
Br1 0.136 0.685 0.500
Br2 0.178 0.435 0.000
Br3 0.322 0.935 0.000
Br4 0.364 0.185 0.500
Br5 0.636 0.815 0.500
Br6 0.678 0.065 0.000
Br7 0.822 0.565 0.000
Br8 0.864 0.315 0.500

Values from the calculation:
Space-group type ... Pbam, No. 55
Theoretical density ... 5.72 g cm⁻³
Formation energy (no corrections) ... -5.7 eV/f.u.
Relative energy among the computed polymorphs ... 0.00 eV/f.u.
Uncorrected energy ... -3.744 eV per atom

Computed, not measured: crystalline FeCo2ReBr at its relaxed geometry at the PBE level of DFT.

Cell lengths 4.470, 4.470, 4.933 Å; angles 90.00, 90.00, 90.00 degrees
Sites, in units of the cell vectors:
Fe1 0.000 0.000 0.000
Co1 0.000 0.500 0.500
Co2 0.500 0.000 0.500
Re1 0.500 0.500 0.500
Br1 0.500 0.500 0.000

Values from the calculation:
Space-group type ... P4/mmm, No. 123
Theoretical density ... 7.41 g cm⁻³
Formation energy (no corrections) ... 8.6 eV/f.u.
Uncorrected energy ... -5.629 eV per atom

Computed, not measured: crystalline Th2AsSe2 at its relaxed geometry at the PBE level of DFT.

Cell lengths 4.273, 4.273, 10.285 Å; angles 90.39, 90.39, 60.00 degrees
Sites, in units of the cell vectors:
Th1 0.169 0.169 0.171
Th2 0.831 0.831 0.829
As1 0.500 0.500 0.000
Se1 0.163 0.163 0.677
Se2 0.837 0.837 0.323

Values from the calculation:
Space-group type ... C2/m, No. 12
Theoretical density ... 7.11 g cm⁻³
Formation energy (no corrections) ... -7.7 eV/f.u.
Relative energy among the computed polymorphs ... 0.00 eV/f.u.
Uncorrected energy ... -6.826 eV per atom

Computed, not measured: crystalline YW at its relaxed geometry at the PBE level of DFT.

Cell lengths 10.140, 10.140, 10.140 Å; angles 18.59, 18.59, 18.59 degrees
Sites, in units of the cell vectors:
Y1 0.112 0.112 0.112
Y2 0.888 0.888 0.888
W1 0.363 0.363 0.363
W2 0.637 0.637 0.637

Values from the calculation:
Space-group type ... R-3m, No. 166
Theoretical density ... 9.78 g cm⁻³
Relative energy among the computed polymorphs ... 0.59 eV/f.u.
Uncorrected energy ... -9.167 eV per atom
Energy relative to the elements ... 1.1 eV per formula unit

Computed, not measured: crystalline LiSc2SiPb at its relaxed geometry at the PBE level of DFT.

Cell lengths 5.068, 5.068, 4.634 Å; angles 90.00, 90.00, 90.00 degrees
Sites, in units of the cell vectors:
Li1 0.000 0.000 0.000
Sc1 0.000 0.500 0.500
Sc2 0.500 0.000 0.500
Si1 0.000 0.000 0.500
Pb1 0.500 0.500 0.000

Values from the calculation:
Space-group type ... P4/mmm, No. 123
Theoretical density ... 4.63 g cm⁻³
Formation energy (no corrections) ... -1.2 eV/f.u.
Uncorrected energy ... -4.976 eV per atom

Computed, not measured: crystalline BeHgAs at its relaxed geometry at the PBE level of DFT.

Cell lengths 3.324, 3.324, 12.928 Å; angles 93.05, 93.05, 67.12 degrees
Sites, in units of the cell vectors:
Be1 0.176 0.176 0.458
Be2 0.824 0.824 0.542
Hg1 0.270 0.270 0.115
Hg2 0.730 0.730 0.885
As1 0.204 0.204 0.634
As2 0.796 0.796 0.366

Values from the calculation:
Space-group type ... C2/m, No. 12
Theoretical density ... 7.19 g cm⁻³
Relative energy among the computed polymorphs ... 0.00 eV/f.u.
Uncorrected energy ... -2.842 eV per atom
Energy relative to the elements ... 0.2 eV per formula unit